## BaMn2Cu (GGA-PBE)

Data for crystalline BaMn2Cu at its relaxed geometry.

POSCAR file:
```
BaMn2Cu
1.0
0.000 3.552 3.552
3.552 0.000 3.552
3.552 3.552 0.000
Ba Mn Cu
1 2 1
Cartesian
0.000 0.000 0.000
1.776 1.776 1.776
5.328 5.328 5.328
3.552 3.552 3.552
```

Values from the calculation:
VASP energy = -20.91 eV for the cell shown
ρ = 5.8 g cm⁻³
DFT formation energy = 0.8620 eV per atom
M_tot = 2.1253 μB per atom